KNi2Sb | Alexandria via LeMat-Bulk | PBE | optimized geometry; electronic total energy = -3.499 eV/atom; formation energy from raw total energies = 0.70 eV per atom
1.0
0.000 3.371 3.371
3.371 0.000 3.371
3.371 3.371 0.000
K Ni Sb
1 2 1
Cartesian
0.000 0.000 0.000
1.686 1.686 1.686
3.371 3.371 3.371
5.057 5.057 5.057